{
  "formula": "Ti5ZnRu4",
  "functional": "PBE",
  "state": "optimized geometry",
  "lattice": [[3.087, 0.000, 0.000], [0.000, 3.087, 0.000], [0.000, 0.000, 15.540]],
  "species": ["Ti", "Ti", "Ti", "Ti", "Ti", "Zn", "Ru", "Ru", "Ru", "Ru"],
  "frac_coords": [[0.000, 0.000, 0.000], [0.000, 0.000, 0.198], [0.000, 0.000, 0.395], [0.000, 0.000, 0.605], [0.000, 0.000, 0.802], [0.500, 0.500, 0.500], [0.500, 0.500, 0.099], [0.500, 0.500, 0.298], [0.500, 0.500, 0.702], [0.500, 0.500, 0.901]],
  "total_energy_ev_per_atom": -8.431,
  "total_magnetization_mub_per_atom": 0.00,
  "dos_ef_per_ev_atom": 0.277,
  "delta_e_f_ev_per_atom": -0.645,
  "space_group": "P4/mmm (123)"
}